# Fe2CoH2 GGA-PBE relaxed
data_Fe2CoH2
_chemical_formula_sum 'Fe4 Co2 H4'
_cell_length_a 5.4390
_cell_length_b 5.4390
_cell_length_c 2.6499
_cell_angle_alpha 90.00
_cell_angle_beta 90.00
_cell_angle_gamma 90.00
_space_group_name_H-M_alt 'P 1'
_space_group_IT_number 1
loop_
_space_group_symop_operation_xyz
'x,y,z'
loop_
_atom_site_label
_atom_site_type_symbol
_atom_site_fract_x
_atom_site_fract_y
_atom_site_fract_z
Fe1 Fe 0.1581 0.3419 0.0000
Fe2 Fe 0.3419 0.8419 0.0000
Fe3 Fe 0.6581 0.1581 0.0000
Fe4 Fe 0.8419 0.6581 0.0000
Co1 Co 0.0000 0.0000 0.5000
Co2 Co 0.5000 0.5000 0.5000
H1 H 0.1772 0.6772 0.5000
H2 H 0.3228 0.1772 0.5000
H3 H 0.6772 0.8228 0.5000
H4 H 0.8228 0.3228 0.5000
# Relative energy among the computed polymorphs (eV per formula unit): 0.94
# DFT total energy (eV per formula unit): -29.8